1.
Compound: MgCuPd2
Source: OQMD via LeMat-Bulk
Functional: PBE-GGA
Structure: relaxed

Calculated values
- SG: No. 194
- Raw total energy: -4.24 eV/atom

```
data_MgCuPd2
_space_group_name_H-M_alt 'P 1'
_space_group_IT_number 1
_space_group_name_Hall 'P 1'
_cell_length_a 4.312
_cell_length_b 4.312
_cell_length_c 8.140
_cell_angle_alpha 90.00
_cell_angle_beta 90.00
_cell_angle_gamma 120.00
loop_
_atom_site_label
_atom_site_type_symbol
_atom_site_fract_x
_atom_site_fract_y
_atom_site_fract_z
Mg1 Mg 0.333 0.667 0.250
Mg2 Mg 0.667 0.333 0.750
Cu1 Cu 0.000 0.000 0.000
Cu2 Cu 0.000 0.000 0.500
Pd1 Pd 0.333 0.667 0.581
Pd2 Pd 0.333 0.667 0.919
Pd3 Pd 0.667 0.333 0.081
Pd4 Pd 0.667 0.333 0.419
```



2.
Compound: CoNiBiMo
Source: OQMD via LeMat-Bulk
Functional: PBE-GGA
Structure: relaxed

Calculated values
- SG: No. 216
- Raw total energy: -6.36 eV/atom

```
data_CoNiBiMo
_space_group_name_H-M_alt 'P 1'
_space_group_IT_number 1
_space_group_name_Hall 'P 1'
_cell_length_a 4.423
_cell_length_b 4.423
_cell_length_c 4.423
_cell_angle_alpha 60.00
_cell_angle_beta 60.00
_cell_angle_gamma 60.00
loop_
_atom_site_label
_atom_site_type_symbol
_atom_site_fract_x
_atom_site_fract_y
_atom_site_fract_z
Co1 Co 0.000 0.000 0.000
Ni1 Ni 0.500 0.500 0.500
Bi1 Bi 0.750 0.750 0.750
Mo1 Mo 0.250 0.250 0.250
```



3.
Compound: Tb5Sn2Sb2
Source: OQMD via LeMat-Bulk
Functional: PBE-GGA
Structure: relaxed

Calculated values
- SG: No. 64
- Raw total energy: -5.30 eV/atom

```
data_Tb5Sn2Sb2
_space_group_name_H-M_alt 'P 1'
_space_group_IT_number 1
_space_group_name_Hall 'P 1'
_cell_length_a 8.747
_cell_length_b 8.747
_cell_length_c 8.190
_cell_angle_alpha 90.00
_cell_angle_beta 90.00
_cell_angle_gamma 55.53
loop_
_atom_site_label
_atom_site_type_symbol
_atom_site_fract_x
_atom_site_fract_y
_atom_site_fract_z
Tb1 Tb 0.000 0.000 0.000
Tb2 Tb 0.032 0.697 0.664
Tb3 Tb 0.197 0.532 0.164
Tb4 Tb 0.303 0.968 0.664
Tb5 Tb 0.468 0.803 0.164
Tb6 Tb 0.500 0.500 0.500
Tb7 Tb 0.532 0.197 0.836
Tb8 Tb 0.697 0.032 0.336
Tb9 Tb 0.803 0.468 0.836
Tb10 Tb 0.968 0.303 0.336
Sn1 Sn 0.135 0.865 0.365
Sn2 Sn 0.365 0.635 0.865
Sn3 Sn 0.635 0.365 0.135
Sn4 Sn 0.865 0.135 0.635
Sb1 Sb 0.203 0.203 0.000
Sb2 Sb 0.297 0.297 0.500
Sb3 Sb 0.703 0.703 0.500
Sb4 Sb 0.797 0.797 0.000
```



4.
Compound: KPIrO
Source: OQMD via LeMat-Bulk
Functional: PBE-GGA
Structure: relaxed

Calculated values
- SG: No. 26
- Raw total energy: -5.55 eV/atom

```
data_KPIrO
_space_group_name_H-M_alt 'P 1'
_space_group_IT_number 1
_space_group_name_Hall 'P 1'
_cell_length_a 3.792
_cell_length_b 6.050
_cell_length_c 7.283
_cell_angle_alpha 90.00
_cell_angle_beta 90.00
_cell_angle_gamma 90.00
loop_
_atom_site_label
_atom_site_type_symbol
_atom_site_fract_x
_atom_site_fract_y
_atom_site_fract_z
K1 K 0.000 0.164 0.000
K2 K 0.000 0.836 0.500
P1 P 0.500 0.388 0.685
P2 P 0.500 0.612 0.185
Ir1 Ir 0.500 0.334 0.383
Ir2 Ir 0.500 0.666 0.883
O1 O 0.000 0.239 0.356
O2 O 0.000 0.761 0.856
```



5.
Compound: GaPt
Source: OQMD via LeMat-Bulk
Functional: PBE-GGA
Structure: relaxed

Calculated values
- SG: No. 216
- Raw total energy: -4.73 eV/atom

```
data_GaPt
_space_group_name_H-M_alt 'P 1'
_space_group_IT_number 1
_space_group_name_Hall 'P 1'
_cell_length_a 3.990
_cell_length_b 3.990
_cell_length_c 3.990
_cell_angle_alpha 60.00
_cell_angle_beta 60.00
_cell_angle_gamma 60.00
loop_
_atom_site_label
_atom_site_type_symbol
_atom_site_fract_x
_atom_site_fract_y
_atom_site_fract_z
Ga1 Ga 0.000 0.000 0.000
Pt1 Pt 0.750 0.750 0.750
```



6.
Compound: BePdSO
Source: OQMD via LeMat-Bulk
Functional: PBE-GGA
Structure: relaxed

Calculated values
- SG: No. 129
- Raw total energy: -4.98 eV/atom

```
data_BePdSO
_space_group_name_H-M_alt 'P 1'
_space_group_IT_number 1
_space_group_name_Hall 'P 1'
_cell_length_a 4.097
_cell_length_b 4.097
_cell_length_c 6.105
_cell_angle_alpha 90.00
_cell_angle_beta 90.00
_cell_angle_gamma 90.00
loop_
_atom_site_label
_atom_site_type_symbol
_atom_site_fract_x
_atom_site_fract_y
_atom_site_fract_z
Be1 Be 0.250 0.250 0.226
Be2 Be 0.750 0.750 0.774
Pd1 Pd 0.250 0.750 0.000
Pd2 Pd 0.750 0.250 0.000
S1 S 0.250 0.250 0.728
S2 S 0.750 0.750 0.272
O1 O 0.250 0.250 0.470
O2 O 0.750 0.750 0.530
```



7.
Compound: RbErAlTe3
Source: OQMD via LeMat-Bulk
Functional: PBE-GGA
Structure: relaxed

Calculated values
- SG: No. 62
- Raw total energy: -3.99 eV/atom

```
data_RbErAlTe3
_space_group_name_H-M_alt 'P 1'
_space_group_IT_number 1
_space_group_name_Hall 'P 1'
_cell_length_a 11.966
_cell_length_b 5.050
_cell_length_c 13.361
_cell_angle_alpha 90.00
_cell_angle_beta 90.00
_cell_angle_gamma 90.00
loop_
_atom_site_label
_atom_site_type_symbol
_atom_site_fract_x
_atom_site_fract_y
_atom_site_fract_z
Rb1 Rb 0.182 0.250 0.010
Rb2 Rb 0.318 0.750 0.510
Rb3 Rb 0.682 0.250 0.490
Rb4 Rb 0.818 0.750 0.990
Er1 Er 0.024 0.250 0.322
Er2 Er 0.476 0.750 0.822
Er3 Er 0.524 0.250 0.178
Er4 Er 0.976 0.750 0.678
Al1 Al 0.232 0.250 0.725
Al2 Al 0.268 0.750 0.225
Al3 Al 0.732 0.250 0.775
Al4 Al 0.768 0.750 0.275
Te1 Te 0.051 0.750 0.175
Te2 Te 0.087 0.250 0.565
Te3 Te 0.210 0.750 0.802
Te4 Te 0.290 0.250 0.302
Te5 Te 0.413 0.750 0.065
Te6 Te 0.449 0.250 0.675
Te7 Te 0.551 0.750 0.325
Te8 Te 0.587 0.250 0.935
Te9 Te 0.710 0.750 0.698
Te10 Te 0.790 0.250 0.198
Te11 Te 0.913 0.750 0.435
Te12 Te 0.949 0.250 0.825
```



8.
Compound: SmYNi4
Source: OQMD via LeMat-Bulk
Functional: PBE-GGA
Structure: relaxed

Calculated values
- SG: No. 216
- E_form: -0.39 eV per atom

```
data_SmYNi4
_space_group_name_H-M_alt 'P 1'
_space_group_IT_number 1
_space_group_name_Hall 'P 1'
_cell_length_a 5.092
_cell_length_b 5.092
_cell_length_c 5.092
_cell_angle_alpha 60.00
_cell_angle_beta 60.00
_cell_angle_gamma 60.00
loop_
_atom_site_label
_atom_site_type_symbol
_atom_site_fract_x
_atom_site_fract_y
_atom_site_fract_z
Sm1 Sm 0.000 0.000 0.000
Y1 Y 0.750 0.750 0.750
Ni1 Ni 0.375 0.375 0.375
Ni2 Ni 0.375 0.375 0.874
Ni3 Ni 0.375 0.874 0.375
Ni4 Ni 0.874 0.375 0.375
```



9.
Compound: KTmCuSe3
Source: OQMD via LeMat-Bulk
Functional: PBE-GGA
Structure: relaxed

Calculated values
- SG: No. 11
- Raw total energy: -4.47 eV/atom

```
data_KTmCuSe3
_space_group_name_H-M_alt 'P 1'
_space_group_IT_number 1
_space_group_name_Hall 'P 1'
_cell_length_a 9.090
_cell_length_b 4.015
_cell_length_c 9.615
_cell_angle_alpha 90.00
_cell_angle_beta 109.79
_cell_angle_gamma 90.00
loop_
_atom_site_label
_atom_site_type_symbol
_atom_site_fract_x
_atom_site_fract_y
_atom_site_fract_z
K1 K 0.207 0.250 0.239
K2 K 0.793 0.750 0.761
Tm1 Tm 0.324 0.750 0.856
Tm2 Tm 0.676 0.250 0.144
Cu1 Cu 0.083 0.250 0.601
Cu2 Cu 0.917 0.750 0.399
Se1 Se 0.110 0.250 0.862
Se2 Se 0.200 0.750 0.535
Se3 Se 0.465 0.750 0.166
Se4 Se 0.535 0.250 0.834
Se5 Se 0.800 0.250 0.465
Se6 Se 0.890 0.750 0.138
```



10.
Compound: LuMoPd
Source: OQMD via LeMat-Bulk
Functional: PBE-GGA
Structure: relaxed

Calculated values
- SG: No. 216
- E_form: 0.79 eV per atom

```
data_LuMoPd
_space_group_name_H-M_alt 'P 1'
_space_group_IT_number 1
_space_group_name_Hall 'P 1'
_cell_length_a 4.543
_cell_length_b 4.543
_cell_length_c 4.543
_cell_angle_alpha 60.00
_cell_angle_beta 60.00
_cell_angle_gamma 60.00
loop_
_atom_site_label
_atom_site_type_symbol
_atom_site_fract_x
_atom_site_fract_y
_atom_site_fract_z
Lu1 Lu 0.000 0.000 0.000
Mo1 Mo 0.750 0.750 0.750
Pd1 Pd 0.250 0.250 0.250
```